# 1
! Rb3Sn5Se12 (PBE, relaxed); values from VASP
&SYSTEM
  ibrav = 0, nat = 80, ntyp = 3
/
ATOMIC_SPECIES
Rb 85.47 Rb.upf
Sn 118.71 Sn.upf
Se 78.96 Se.upf
CELL_PARAMETERS angstrom
-8.660 8.660 8.660
8.660 -8.660 8.660
8.660 8.660 -8.660
ATOMIC_POSITIONS crystal
Rb 0.125 0.250 0.375
Rb 0.125 0.375 0.750
Rb 0.250 0.375 0.125
Rb 0.250 0.875 0.625
Rb 0.375 0.125 0.250
Rb 0.375 0.750 0.125
Rb 0.625 0.250 0.875
Rb 0.625 0.875 0.750
Rb 0.750 0.125 0.375
Rb 0.750 0.625 0.875
Rb 0.875 0.625 0.250
Rb 0.875 0.750 0.625
Sn 0.000 0.000 0.000
Sn 0.000 0.000 0.500
Sn 0.000 0.500 0.000
Sn 0.000 0.500 0.500
Sn 0.125 0.750 0.875
Sn 0.125 0.875 0.250
Sn 0.250 0.125 0.875
Sn 0.250 0.625 0.375
Sn 0.375 0.250 0.625
Sn 0.375 0.625 0.750
Sn 0.500 0.000 0.000
Sn 0.500 0.000 0.500
Sn 0.500 0.500 0.000
Sn 0.500 0.500 0.500
Sn 0.625 0.375 0.250
Sn 0.625 0.750 0.375
Sn 0.750 0.375 0.625
Sn 0.750 0.875 0.125
Sn 0.875 0.125 0.750
Sn 0.875 0.250 0.125
Se 0.024 0.203 0.111
Se 0.024 0.321 0.913
Se 0.087 0.611 0.408
Se 0.087 0.976 0.679
Se 0.092 0.703 0.679
Se 0.092 0.889 0.413
Se 0.111 0.024 0.203
Se 0.111 0.587 0.908
Se 0.179 0.203 0.592
Se 0.179 0.476 0.587
Se 0.203 0.111 0.024
Se 0.203 0.592 0.179
Se 0.297 0.321 0.908
Se 0.297 0.476 0.389
Se 0.321 0.908 0.297
Se 0.321 0.913 0.024
Se 0.389 0.297 0.476
Se 0.389 0.592 0.913
Se 0.408 0.087 0.611
Se 0.408 0.821 0.797
Se 0.413 0.092 0.889
Se 0.413 0.821 0.524
Se 0.476 0.389 0.297
Se 0.476 0.587 0.179
Se 0.524 0.413 0.821
Se 0.524 0.611 0.703
Se 0.587 0.179 0.476
Se 0.587 0.908 0.111
Se 0.592 0.179 0.203
Se 0.592 0.913 0.389
Se 0.611 0.408 0.087
Se 0.611 0.703 0.524
Se 0.679 0.087 0.976
Se 0.679 0.092 0.703
Se 0.703 0.524 0.611
Se 0.703 0.679 0.092
Se 0.797 0.408 0.821
Se 0.797 0.889 0.976
Se 0.821 0.524 0.413
Se 0.821 0.797 0.408
Se 0.889 0.413 0.092
Se 0.889 0.976 0.797
Se 0.908 0.111 0.587
Se 0.908 0.297 0.321
Se 0.913 0.024 0.321
Se 0.913 0.389 0.592
Se 0.976 0.679 0.087
Se 0.976 0.797 0.889
! Size of the total moment, Bohr magnetons per cell: 0.00
! Space-group type: Ia-3d (230)
! Energy relative to the elements, uncorrected, eV/atom: -0.4466
! Fermi-level density of states, states/eV/f.u.: 16.9

=====

# 2
! Y2InCuS4 (PBE, relaxed); values from VASP
&SYSTEM
  ibrav = 0, nat = 16, ntyp = 4
/
ATOMIC_SPECIES
Y 88.91 Y.upf
In 114.82 In.upf
Cu 63.55 Cu.upf
S 32.06 S.upf
CELL_PARAMETERS angstrom
1.974 -6.780 0.000
1.974 6.780 0.000
0.000 0.000 13.767
ATOMIC_POSITIONS crystal
Y 0.134 0.866 0.563
Y 0.134 0.866 0.937
Y 0.866 0.134 0.063
Y 0.866 0.134 0.437
In 0.394 0.606 0.750
In 0.606 0.394 0.250
Cu 0.335 0.665 0.250
Cu 0.665 0.335 0.750
S 0.069 0.931 0.750
S 0.237 0.763 0.111
S 0.237 0.763 0.389
S 0.500 0.500 0.000
S 0.500 0.500 0.500
S 0.763 0.237 0.611
S 0.763 0.237 0.889
S 0.931 0.069 0.250
! Size of the total moment, Bohr magnetons per cell: 0.00
! Space-group type: Cmcm (63)
! Energy relative to the elements, uncorrected, eV/atom: -1.4082

=====

# 3
! Sm7Y2Er (PBE, relaxed); values from VASP
&SYSTEM
  ibrav = 0, nat = 10, ntyp = 3
/
ATOMIC_SPECIES
Sm 150.36 Sm.upf
Y 88.91 Y.upf
Er 167.26 Er.upf
CELL_PARAMETERS angstrom
4.340 -8.747 0.000
4.340 8.747 0.000
0.000 0.000 5.309
ATOMIC_POSITIONS crystal
Sm 0.000 0.000 0.000
Sm 0.212 0.428 0.000
Sm 0.303 0.697 0.500
Sm 0.428 0.212 0.000
Sm 0.572 0.788 0.000
Sm 0.697 0.303 0.500
Sm 0.788 0.572 0.000
Y 0.205 0.795 0.000
Y 0.795 0.205 0.000
Er 0.500 0.500 0.500
! Size of the total moment, Bohr magnetons per cell: 0.00
! Space-group type: Cmmm (65)
! Formation energy, eV/atom: 0.6629
! Fermi-level density of states, states/eV/f.u.: 14.2

=====

# 4
! PaZnReTc (PBE, relaxed); values from VASP
&SYSTEM
  ibrav = 0, nat = 4, ntyp = 4
/
ATOMIC_SPECIES
Pa 231.04 Pa.upf
Zn 65.41 Zn.upf
Re 186.21 Re.upf
Tc 98.00 Tc.upf
CELL_PARAMETERS angstrom
0.000 3.256 3.256
3.256 0.000 3.256
3.256 3.256 0.000
ATOMIC_POSITIONS crystal
Pa 0.000 0.000 0.000
Zn 0.500 0.500 0.500
Re 0.750 0.750 0.750
Tc 0.250 0.250 0.250
! Size of the total moment, Bohr magnetons per cell: 0.00
! Space-group type: F-43m (216)
! Formation energy, eV/atom: 0.0862
! Fermi-level density of states, states/eV/f.u.: 5.3

=====

# 5
! LiTl2Te2 (PBE, relaxed); values from VASP
&SYSTEM
  ibrav = 0, nat = 10, ntyp = 3
/
ATOMIC_SPECIES
Li 6.94 Li.upf
Tl 204.38 Tl.upf
Te 127.60 Te.upf
CELL_PARAMETERS angstrom
8.763 0.000 0.000
0.000 8.763 0.000
0.000 0.000 4.164
ATOMIC_POSITIONS crystal
Li 0.000 0.000 0.000
Li 0.500 0.500 0.000
Tl 0.133 0.367 0.000
Tl 0.367 0.867 0.000
Tl 0.633 0.133 0.000
Tl 0.867 0.633 0.000
Te 0.172 0.672 0.500
Te 0.328 0.172 0.500
Te 0.672 0.828 0.500
Te 0.828 0.328 0.500
! Size of the total moment, Bohr magnetons per cell: 0.00
! Space-group type: P4/mbm (127)
! Energy relative to the elements, uncorrected, eV/atom: -0.1856
! Fermi-level density of states, states/eV/f.u.: 2.9

=====

# 6
! FePd6Pt2 (PBE, relaxed); values from VASP
&SYSTEM
  ibrav = 0, nat = 9, ntyp = 3
/
ATOMIC_SPECIES
Fe 55.84 Fe.upf
Pd 106.42 Pd.upf
Pt 195.08 Pt.upf
CELL_PARAMETERS angstrom
3.574 -7.003 0.000
3.574 7.003 0.000
-0.529 0.000 2.766
ATOMIC_POSITIONS crystal
Fe 0.000 0.000 0.000
Pd 0.167 0.502 0.175
Pd 0.322 0.322 0.667
Pd 0.498 0.833 0.825
Pd 0.502 0.167 0.175
Pd 0.678 0.678 0.333
Pd 0.833 0.498 0.825
Pt 0.156 0.844 0.500
Pt 0.844 0.156 0.500
! Size of the total moment, Bohr magnetons per cell: 5.41
! Space-group type: C2/m (12)
! Formation energy, eV/atom: -0.0140
! Fermi-level density of states, states/eV/f.u.: 13.4

=====

# 7
! BeSiTc4 (PBE, relaxed); values from VASP
&SYSTEM
  ibrav = 0, nat = 6, ntyp = 3
/
ATOMIC_SPECIES
Be 9.01 Be.upf
Si 28.09 Si.upf
Tc 98.00 Tc.upf
CELL_PARAMETERS angstrom
0.000 3.569 3.569
3.569 0.000 3.569
3.569 3.569 0.000
ATOMIC_POSITIONS crystal
Be 0.000 0.000 0.000
Si 0.750 0.750 0.750
Tc 0.375 0.375 0.375
Tc 0.375 0.375 0.875
Tc 0.375 0.875 0.375
Tc 0.875 0.375 0.375
! Size of the total moment, Bohr magnetons per cell: 0.00
! Space-group type: F-43m (216)
! Energy relative to the elements, uncorrected, eV/atom: 0.6036
! Fermi-level density of states, states/eV/f.u.: 3.8

=====

# 8
! KNaSc2B (PBE, relaxed); values from VASP
&SYSTEM
  ibrav = 0, nat = 5, ntyp = 4
/
ATOMIC_SPECIES
K 39.10 K.upf
Na 22.99 Na.upf
Sc 44.96 Sc.upf
B 10.81 B.upf
CELL_PARAMETERS angstrom
5.289 0.000 0.000
0.000 5.289 0.000
0.000 0.000 4.824
ATOMIC_POSITIONS crystal
K 0.000 0.000 0.000
Na 0.500 0.500 0.500
Sc 0.000 0.500 0.000
Sc 0.500 0.000 0.000
B 0.000 0.000 0.500
! Size of the total moment, Bohr magnetons per cell: 0.00
! Space-group type: P4/mmm (123)
! Formation energy, eV/atom: 1.8691
! Fermi-level density of states, states/eV/f.u.: 4.6

=====

# 9
! K2LiAl (PBE, relaxed); values from VASP
&SYSTEM
  ibrav = 0, nat = 8, ntyp = 3
/
ATOMIC_SPECIES
K 39.10 K.upf
Li 6.94 Li.upf
Al 26.98 Al.upf
CELL_PARAMETERS angstrom
-4.808 4.808 3.229
4.808 -4.808 3.229
4.808 4.808 -3.229
ATOMIC_POSITIONS crystal
K 0.116 0.125 0.491
K 0.375 0.884 0.009
K 0.634 0.625 0.509
K 0.875 0.366 0.991
Li 0.000 0.000 0.000
Li 0.750 0.250 0.500
Al 0.250 0.750 0.500
Al 0.500 0.500 0.000
! Size of the total moment, Bohr magnetons per cell: 0.00
! Space-group type: I-42d (122)
! Formation energy, eV/atom: 0.4084
! Fermi-level density of states, states/eV/f.u.: 1.2

=====

# 10
! LiAgCl5 (PBE, relaxed); values from VASP
&SYSTEM
  ibrav = 0, nat = 14, ntyp = 3
/
ATOMIC_SPECIES
Li 6.94 Li.upf
Ag 107.87 Ag.upf
Cl 35.45 Cl.upf
CELL_PARAMETERS angstrom
5.083 -4.034 0.000
5.083 4.034 0.000
-4.629 0.000 8.980
ATOMIC_POSITIONS crystal
Li 0.110 0.890 0.750
Li 0.890 0.110 0.250
Ag 0.000 0.500 0.000
Ag 0.500 0.000 0.500
Cl 0.125 0.380 0.477
Cl 0.187 0.582 0.868
Cl 0.195 0.805 0.250
Cl 0.380 0.125 0.977
Cl 0.418 0.813 0.632
Cl 0.582 0.187 0.368
Cl 0.620 0.875 0.023
Cl 0.805 0.195 0.750
Cl 0.813 0.418 0.132
Cl 0.875 0.620 0.523
! Size of the total moment, Bohr magnetons per cell: 0.00
! Space-group type: C2/c (15)
! Energy relative to the elements, uncorrected, eV/atom: -0.5365

=====

# 11
! Ta2TlPt (PBE, relaxed); values from VASP
&SYSTEM
  ibrav = 0, nat = 4, ntyp = 3
/
ATOMIC_SPECIES
Ta 180.95 Ta.upf
Tl 204.38 Tl.upf
Pt 195.08 Pt.upf
CELL_PARAMETERS angstrom
2.928 0.000 0.000
0.000 2.928 0.000
0.000 0.000 8.573
ATOMIC_POSITIONS crystal
Ta 0.000 0.000 0.230
Ta 0.000 0.000 0.770
Tl 0.500 0.500 0.500
Pt 0.500 0.500 0.000
! Size of the total moment, Bohr magnetons per cell: 0.00
! Space-group type: P4/mmm (123)
! Formation energy, eV/atom: 0.0293
! Fermi-level density of states, states/eV/f.u.: 2.6

=====

# 12
! PuTl2Cl4 (PBE, relaxed); values from VASP
&SYSTEM
  ibrav = 0, nat = 7, ntyp = 3
/
ATOMIC_SPECIES
Pu 244.00 Pu.upf
Tl 204.38 Tl.upf
Cl 35.45 Cl.upf
CELL_PARAMETERS angstrom
6.636 -2.171 0.000
6.636 2.171 0.000
-4.466 0.000 7.665
ATOMIC_POSITIONS crystal
Pu 0.000 0.000 0.000
Tl 0.340 0.340 0.343
Tl 0.660 0.660 0.657
Cl 0.090 0.090 0.360
Cl 0.351 0.351 0.959
Cl 0.649 0.649 0.041
Cl 0.910 0.910 0.640
! Size of the total moment, Bohr magnetons per cell: 5.93
! Space-group type: C2/m (12)
! Energy relative to the elements, uncorrected, eV/atom: -1.3290
! Fermi-level density of states, states/eV/f.u.: 13.4

=====

# 13
! HfGa6Tc (PBE, relaxed); values from VASP
&SYSTEM
  ibrav = 0, nat = 8, ntyp = 3
/
ATOMIC_SPECIES
Hf 178.49 Hf.upf
Ga 69.72 Ga.upf
Tc 98.00 Tc.upf
CELL_PARAMETERS angstrom
4.509 2.603 2.084
-4.509 2.603 2.084
0.000 -5.207 2.084
ATOMIC_POSITIONS crystal
Hf 0.000 0.000 0.000
Ga 0.220 0.220 0.670
Ga 0.220 0.670 0.220
Ga 0.330 0.780 0.780
Ga 0.670 0.220 0.220
Ga 0.780 0.330 0.780
Ga 0.780 0.780 0.330
Tc 0.500 0.500 0.500
! Size of the total moment, Bohr magnetons per cell: 0.00
! Space-group type: R-3m (166)
! Formation energy, eV/atom: -0.1739
! Fermi-level density of states, states/eV/f.u.: 2.9

=====

# 14
! LiCuBr3 (PBE, relaxed); values from VASP
&SYSTEM
  ibrav = 0, nat = 10, ntyp = 3
/
ATOMIC_SPECIES
Li 6.94 Li.upf
Cu 63.55 Cu.upf
Br 79.90 Br.upf
CELL_PARAMETERS angstrom
7.059 0.000 0.000
0.000 4.090 0.000
-2.115 0.000 9.533
ATOMIC_POSITIONS crystal
Li 0.147 0.250 0.372
Li 0.853 0.750 0.628
Cu 0.429 0.250 0.834
Cu 0.571 0.750 0.166
Br 0.140 0.250 0.644
Br 0.301 0.750 0.951
Br 0.348 0.750 0.323
Br 0.652 0.250 0.677
Br 0.699 0.250 0.049
Br 0.860 0.750 0.356
! Size of the total moment, Bohr magnetons per cell: 1.41
! Space-group type: P2_1/m (11)
! Energy relative to the elements, uncorrected, eV/atom: -0.7154
! Fermi-level density of states, states/eV/f.u.: 2.9

=====

Uncorrected energy readings, ordered: -3.683; -5.942; -4.390; -8.310; -2.772; -5.759; -7.832; -2.482; -1.554; -2.536; -7.999; -5.108; -4.984; -2.921 eV per atom